[1]
Computed, not measured: a relaxed KCaTbBiO6 crystal at the PBE level of DFT.

Structure (POSCAR):
```
KCaTbBiO6
1.0
1.805 -5.156 2.744
-1.215 -0.897 5.923
-4.133 -4.181 1.673
O Ca K Bi Tb
6 1 1 1 1
Cartesian
-2.057 -7.283 4.783 O
-3.607 -5.097 6.415 O
-1.486 -2.951 5.557 O
-0.559 -5.597 6.965 O
0.064 -5.137 3.925 O
-2.984 -4.637 3.375 O
-2.657 -7.675 7.755 Ca
-0.886 -2.558 2.585 K
0.000 0.000 0.000 Bi
-1.771 -5.117 5.170 Tb
```



[2]
Computed, not measured: a relaxed KCaTiBiO6 crystal at the PBE level of DFT.

Structure (POSCAR):
```
KCaTiBiO6
1.0
0.000 4.066 4.066
4.066 0.000 4.066
4.066 4.066 0.000
O Bi Ca K Ti
6 1 1 1 1
Cartesian
4.066 4.066 2.104 O
6.029 4.066 4.066 O
4.066 2.104 4.066 O
4.066 4.066 6.029 O
2.104 4.066 4.066 O
4.066 6.029 4.066 O
0.000 0.000 0.000 Bi
2.033 2.033 2.033 Ca
6.100 6.100 6.100 K
4.066 4.066 4.066 Ti
```



| no. | formation energy without anion corrections (eV per atom) |
| --- | --- |
| 1 | -1.86 |
| 2 | -2.00 |